CaNdTm2 | GGA-PBE | relaxed

* size of the total moment: 0.000 μB per cell
* energy of formation: 132.3 meV/atom
* final energy: -0.2790 Ry per atom
* crystal system: tetragonal

abc: 5.0780 5.0780 5.1646
angles: 90.00 90.00 90.00
Last column: nearest neighbours and their distance in Å.
Space group P4/mmm (No. 123)
One atom of each set of equivalent atoms:
Ca 0.0000 0.0000 0.0000 [1 per cell]  4 Nd 3.59, 8 Tm 3.62
Nd 0.5000 0.5000 0.0000 [1 per cell]  4 Ca 3.59, 8 Tm 3.62
Tm 0.0000 0.5000 0.5000 [2 per cell]  4 Tm 3.59, 4 Ca 3.62, 4 Nd 3.62